DySi6Rh12 | PBE-GGA | optimized geometry

a b c (Å): 6.952 6.952 6.952
angles (deg): 105.65 105.65 105.65
Positions (direct):
Rh  0.434  0.434  0.182
Si  0.249  0.249  0.689
Rh  0.434  0.182  0.434
Si  0.751  0.751  0.311
Rh  0.182  0.434  0.434
Rh  0.566  0.566  0.818
Rh  0.500  0.870  0.130
Dy  0.000  0.000  0.000
Si  0.311  0.751  0.751
Rh  0.130  0.500  0.870
Rh  0.818  0.566  0.566
Rh  0.130  0.870  0.500
Rh  0.500  0.130  0.870
Rh  0.566  0.818  0.566
Si  0.689  0.249  0.249
Si  0.249  0.689  0.249
Si  0.751  0.311  0.751
Rh  0.870  0.500  0.130
Rh  0.870  0.130  0.500

Magnetization: 0.000 μB/cell
Energy: -138.995 eV per cell
Space-group type: R-3m
Crystal system: trigonal


DySi2Rh5 | PBE-GGA | optimized geometry

a b c (Å): 3.849 6.277 6.277
angles (deg): 63.85 72.14 72.14
Positions (direct):
Rh  0.000  0.500  0.500
Si  0.234  0.266  0.266
Si  0.766  0.734  0.734
Rh  0.355  0.849  0.440
Rh  0.355  0.440  0.849
Rh  0.645  0.151  0.560
Dy  0.000  0.000  0.000
Rh  0.645  0.560  0.151

Magnetization: 0.000 μB/cell
Energy: -58.532 eV per cell
Space-group type: Immm
Crystal system: orthorhombic


DySiRh3 | PBE-GGA | optimized geometry

a b c (Å): 4.458 4.458 4.458
angles (deg): 90.00 90.00 90.00
Positions (direct):
Rh  0.500  0.000  0.000
Dy  0.500  0.500  0.500
Rh  0.000  0.000  0.500
Rh  0.000  0.500  0.000
Si  0.000  0.000  0.000

Polymorph energy (0 for the lowest one): 0.116 eV/atom
Magnetization: 0.000 μB/cell
Space-group type: Pm-3m
Crystal system: cubic


DySiRh3 | PBE-GGA | optimized geometry

a b c (Å): 4.436 4.436 9.468
angles (deg): 90.00 90.00 120.00
Positions (direct):
Rh  0.333  0.667  0.070
Rh  0.333  0.667  0.430
Rh  0.667  0.333  0.930
Si  0.000  0.000  0.500
Dy  0.333  0.667  0.750
Si  0.000  0.000  0.000
Rh  0.000  0.000  0.250
Rh  0.667  0.333  0.570
Dy  0.667  0.333  0.250
Rh  0.000  0.000  0.750

Polymorph energy (0 for the lowest one): 0.106 eV/atom
Magnetization: 0.000 μB/cell
Space-group type: P6_3/mmc
Crystal system: hexagonal


Dy2Si7Rh12 | PBE-GGA | optimized geometry

a b c (Å): 3.852 9.733 9.733
angles (deg): 120.00 90.00 90.00
Positions (direct):
Si  0.249  0.401  0.111
Rh  0.248  0.619  0.063
Dy  0.750  0.667  0.333
Rh  0.248  0.444  0.381
Si  0.751  0.111  0.710
Rh  0.255  0.738  0.857
Rh  0.752  0.063  0.444
Si  0.751  0.599  0.889
Dy  0.250  0.333  0.667
Si  0.500  0.000  0.000
Rh  0.745  0.881  0.738
Rh  0.745  0.857  0.119
Rh  0.745  0.262  0.143
Si  0.249  0.889  0.290
Rh  0.255  0.119  0.262
Rh  0.752  0.381  0.937
Si  0.249  0.710  0.599
Si  0.751  0.290  0.401
Rh  0.248  0.937  0.556
Rh  0.255  0.143  0.881
Rh  0.752  0.556  0.619

Magnetization: 0.000 μB/cell
Energy: -155.728 eV per cell
Space-group type: P-3
Crystal system: trigonal


DySi2Rh4 | PBE-GGA | optimized geometry

a b c (Å): 4.038 6.404 16.644
angles (deg): 90.00 90.00 90.00
Positions (direct):
Rh  0.750  0.188  0.816
Si  0.750  0.474  0.717
Dy  0.250  0.006  0.362
Rh  0.750  0.312  0.316
Si  0.750  0.026  0.217
Rh  0.250  0.688  0.684
Si  0.250  0.526  0.283
Si  0.250  0.761  0.039
Rh  0.750  0.855  0.470
Dy  0.750  0.506  0.138
Rh  0.250  0.145  0.530
Rh  0.250  0.268  0.696
Si  0.750  0.239  0.961
Rh  0.750  0.001  0.074
Rh  0.750  0.499  0.574
Rh  0.250  0.232  0.196
Rh  0.250  0.355  0.030
Rh  0.250  0.501  0.426
Rh  0.250  0.999  0.926
Rh  0.750  0.732  0.304
Dy  0.250  0.494  0.862
Rh  0.750  0.768  0.804
Rh  0.250  0.812  0.184
Si  0.750  0.261  0.461
Si  0.250  0.739  0.539
Si  0.250  0.974  0.783
Dy  0.750  0.994  0.638
Rh  0.750  0.645  0.970

Polymorph energy (0 for the lowest one): 0.000 eV/atom
Magnetization: 0.000 μB/cell
Space-group type: Pnma
Crystal system: orthorhombic


DySi3Rh9 | PBE-GGA | optimized geometry

a b c (Å): 5.067 6.287 6.857
angles (deg): 83.20 68.32 71.31
Positions (direct):
Si  0.500  0.000  0.500
Si  0.000  0.000  0.500
Rh  0.518  0.226  0.776
Rh  0.000  0.500  0.000
Si  0.500  0.500  0.000
Rh  0.312  0.677  0.640
Rh  0.705  0.774  0.776
Rh  0.048  0.323  0.640
Rh  0.952  0.677  0.360
Dy  0.000  0.000  0.000
Rh  0.482  0.774  0.224
Rh  0.295  0.226  0.224
Rh  0.688  0.323  0.360

Magnetization: 0.000 μB/cell
Energy: -94.515 eV per cell
Space-group type: C2/m
Crystal system: monoclinic


Dy2Si2Rh5 | PBE-GGA | optimized geometry

a b c (Å): 4.131 4.131 8.782
angles (deg): 90.00 90.00 90.00
Positions (direct):
Rh  0.500  0.500  0.500
Si  0.500  0.500  0.139
Dy  0.000  0.000  0.500
Rh  0.500  0.000  0.736
Rh  0.000  0.500  0.264
Rh  0.500  0.000  0.264
Rh  0.000  0.500  0.736
Dy  0.000  0.000  0.000
Si  0.500  0.500  0.861

Magnetization: 0.000 μB/cell
Energy: -64.921 eV per cell
Space-group type: P4/mmm
Crystal system: tetragonal